P | Computed, not measured: crystalline V3As2O9 at its relaxed geometry at the PBE with a Hubbard U level of DFT.

It has space group P4bm (No. 100), with a = 9.060 Å, b = 9.060 Å, c = 4.806 Å, α = 90.00°, β = 90.00° and γ = 90.00°. The asymmetric unit holds V at (0.000, 0.000, 0.000), V at (0.118, 0.382, 0.923), As at (0.199, 0.699, 0.275), O at (0.000, 0.000, 0.661), O at (0.097, 0.597, 0.002), O at (0.120, 0.182, 0.100) and O at (0.134, 0.366, 0.582).

For the density of states at the Fermi level, the calculation gives 0.00 states/eV per atom. The value obtained for the magnetization is 6.000 μB per cell. Its crystal system is tetragonal.

=====

Q | Computed, not measured: crystalline V3As2O9 at its relaxed geometry at the PBE with a Hubbard U level of DFT.

It has space group Cm (No. 8), with a = 8.866 Å, b = 6.477 Å, c = 6.529 Å, α = 90.00°, β = 105.17° and γ = 90.00°. The asymmetric unit holds V at (0.000, 0.000, 0.000), V at (0.075, 0.500, 0.762), V at (0.403, 0.000, 0.171), As at (0.163, 0.000, 0.661), As at (0.298, 0.500, 0.291), O at (0.062, 0.193, 0.790), O at (0.113, 0.500, 0.098), O at (0.182, 0.000, 0.176), O at (0.269, 0.500, 0.782), O at (0.352, 0.000, 0.842), O at (0.399, 0.309, 0.165) and O at (0.491, 0.000, 0.492).

The value obtained for the magnetization is 6.000 μB per cell. Its crystal system is monoclinic.

=====

Which of them is the most stable? Correct choice: Q.

=====

P | Computed, not measured: crystalline VAs2O at its relaxed geometry at the PBE with a Hubbard U level of DFT.

It has space group I-42d (No. 122), with a = 5.926 Å, b = 5.926 Å, c = 8.290 Å, α = 90.00°, β = 90.00° and γ = 90.00°. The asymmetric unit holds V at (0.000, 0.000, 0.000), As at (0.194, 0.750, 0.625) and O at (0.000, 0.000, 0.500).

For the density of states at the Fermi level, the calculation gives 0.50 states/eV per atom. The value obtained for the magnetization is 10.800 μB per cell. Its crystal system is tetragonal.

=====

Q | Computed, not measured: crystalline VAs2O at its relaxed geometry at the PBE with a Hubbard U level of DFT.

It has space group Fm-3m (No. 225), with a = 6.249 Å, b = 6.249 Å, c = 6.249 Å, α = 90.00°, β = 90.00° and γ = 90.00°. The asymmetric unit holds V at (0.000, 0.000, 0.000), As at (0.250, 0.250, 0.250) and O at (0.000, 0.000, 0.500).

For the density of states at the Fermi level, the calculation gives 1.12 states/eV per atom. The value obtained for the magnetization is 4.920 μB per cell. Its crystal system is cubic.

=====

Which of them is the most stable? Correct choice: P.

=====

P | Computed, not measured: crystalline VAs2O8 at its relaxed geometry at the PBE with a Hubbard U level of DFT.

It has space group C2/m (No. 12), with a = 7.940 Å, b = 9.399 Å, c = 4.807 Å, α = 90.00°, β = 91.50° and γ = 90.00°. The asymmetric unit holds V at (0.000, 0.000, 0.000), As at (0.235, 0.000, 0.604), O at (0.057, 0.500, 0.303), O at (0.117, 0.133, 0.776) and O at (0.196, 0.000, 0.254).

The value obtained for the magnetization is 1.881 μB per cell. Its crystal system is monoclinic.

=====

Q | Computed, not measured: crystalline VAs2O8 at its relaxed geometry at the PBE with a Hubbard U level of DFT.

It has space group P-3m1 (No. 164), with a = 5.3817 Å, b = 5.3817 Å, c = 6.5362 Å, α = 90.00°, β = 90.00° and γ = 120.00°. The asymmetric unit holds V at (0.0000, 0.0000, 0.0000), As at (0.3333, 0.6667, 0.7349), O at (0.1620, 0.3239, 0.8308) and O at (0.3333, 0.6667, 0.4767).

For the density of states at the Fermi level, the calculation gives 0.60 states/eV per atom. The value obtained for the magnetization is 1.049 μB per cell. Its crystal system is trigonal.

=====

Which of them is the most stable? Correct choice: Q.

=====

P | Computed, not measured: crystalline As3WO at its relaxed geometry at the PBE with a Hubbard U level of DFT.

It has space group Pm-3m (No. 221), with a = 4.850 Å, b = 4.850 Å, c = 4.850 Å, α = 90.00°, β = 90.00° and γ = 90.00°. The asymmetric unit holds As at (0.000, 0.000, 0.500), W at (0.000, 0.000, 0.000) and O at (0.500, 0.500, 0.500).

For the density of states at the Fermi level, the calculation gives 0.77 states/eV per atom. The value obtained for the magnetization is 0.000 μB per cell. Its crystal system is cubic.

=====

Q | Computed, not measured: crystalline As3WO at its relaxed geometry at the PBE with a Hubbard U level of DFT.

It has space group Pm-3m (No. 221), with a = 4.376 Å, b = 4.376 Å, c = 4.376 Å, α = 90.00°, β = 90.00° and γ = 90.00°. The asymmetric unit holds As at (0.000, 0.000, 0.500), W at (0.500, 0.500, 0.500) and O at (0.000, 0.000, 0.000).

For the density of states at the Fermi level, the calculation gives 0.32 states/eV per atom. The value obtained for the magnetization is 2.515 μB per cell. Its crystal system is cubic.

=====

Which of them is the most stable? Correct choice: Q.

=====

P | Computed, not measured: crystalline AsW2O at its relaxed geometry at the PBE with a Hubbard U level of DFT.

It has space group Fm-3m (No. 225), with a = 6.098 Å, b = 6.098 Å, c = 6.098 Å, α = 90.00°, β = 90.00° and γ = 90.00°. The asymmetric unit holds As at (0.000, 0.000, 0.000), W at (0.250, 0.250, 0.250) and O at (0.000, 0.000, 0.500).

For the density of states at the Fermi level, the calculation gives 0.31 states/eV per atom. The value obtained for the magnetization is 10.860 μB per cell. Its crystal system is cubic.

=====

Q | Computed, not measured: crystalline AsW2O at its relaxed geometry at the PBE with a Hubbard U level of DFT.

It has space group I-42d (No. 122), with a = 5.305 Å, b = 5.305 Å, c = 10.858 Å, α = 90.00°, β = 90.00° and γ = 90.00°. The asymmetric unit holds As at (0.000, 0.000, 0.000), W at (0.177, 0.250, 0.625) and O at (0.000, 0.000, 0.500).

For the density of states at the Fermi level, the calculation gives 0.31 states/eV per atom. The value obtained for the magnetization is 16.365 μB per cell. Its crystal system is tetragonal.

=====

Which of them is the most stable? Correct choice: Q.